## PaRe2 (PBE)

Data for crystalline PaRe2 at its relaxed geometry.

Lattice parameters (Å, degrees): 7.6742 7.6742 7.6742 90.00 90.00 90.00
With the nearest neighbours (Å) after each atom.
Space group Fd-3m (No. 227, origin choice 2)
Inequivalent atoms, fractional coordinates:
Pa 0.1250 0.1250 0.1250  12 Re 3.18, 4 Pa 3.32
Re 0.0000 0.0000 0.5000  6 Re 2.71

## Properties
Electronic total energy in eV per atom: -11.608
ΔH_f (0 K) in eV per atom: -0.14
Polymorph energy (0 for the lowest one) in eV/atom: 0.000